VASP calculation (PBE-GGA) on a relaxed AsOs2Pb crystal.

Values from the calculation:
calculated volume = 20.3 Å³/atom
calculated density = 13.531 g/cm3
energy relative to the elements = 0.51 eV per atom
energy relative to the lowest polymorph listed for this composition = 109 meV/atom
total magnetization = 0.00 μB per formula unit
space-group type = Pmm2 (25)

```
data_AsOs2Pb
_cell_length_a 2.8902
_cell_length_b 3.7372
_cell_length_c 7.5280
_cell_angle_alpha 90.00
_cell_angle_beta 90.00
_cell_angle_gamma 90.00
_symmetry_space_group_name_H-M 'P 1'
_symmetry_Int_Tables_number 1
_symmetry_space_group_name_Hall 'P 1'
loop_
_atom_site_label
_atom_site_fract_x
_atom_site_fract_y
_atom_site_fract_z
As1 0.0000 0.0000 0.0000
Os1 0.0000 0.0000 0.3440
Os2 0.5000 0.5000 0.1905
Pb1 0.5000 0.5000 0.6090
```

***

VASP calculation (PBE-GGA) on a relaxed BaTc2Rh crystal.

Values from the calculation:
calculated volume = 24.8 Å³/atom
calculated density = 7.306 g/cm3
energy relative to the elements = 0.43 eV per atom
energy relative to the lowest polymorph listed for this composition = 45 meV/atom
total magnetization = 0.00 μB per formula unit
space-group type = C2/m (12)

```
data_BaTc2Rh
_cell_length_a 4.4295
_cell_length_b 4.4295
_cell_length_c 6.4300
_cell_angle_alpha 109.27
_cell_angle_beta 109.27
_cell_angle_gamma 58.07
_symmetry_space_group_name_H-M 'P 1'
_symmetry_Int_Tables_number 1
_symmetry_space_group_name_Hall 'P 1'
loop_
_atom_site_label
_atom_site_fract_x
_atom_site_fract_y
_atom_site_fract_z
Ba1 0.0000 0.0000 0.0000
Tc1 0.1945 0.1945 0.5677
Tc2 0.8055 0.8055 0.4323
Rh1 0.5000 0.5000 0.5000
```

***

VASP calculation (PBE-GGA) on a relaxed K3Ag3Cl8 crystal.

Values from the calculation:
calculated volume = 29.8 Å³/atom
calculated density = 2.884 g/cm3
E_tot = -2.880 eV per atom
total magnetization = 0.00 μB per formula unit
space-group type = R-3m (166)

```
data_K3Ag3Cl8
_cell_length_a 8.6724
_cell_length_b 8.6724
_cell_length_c 8.6724
_cell_angle_alpha 55.87
_cell_angle_beta 55.87
_cell_angle_gamma 55.87
_symmetry_space_group_name_H-M 'P 1'
_symmetry_Int_Tables_number 1
_symmetry_space_group_name_Hall 'P 1'
loop_
_atom_site_label
_atom_site_fract_x
_atom_site_fract_y
_atom_site_fract_z
K1 0.0000 0.5000 0.5000
K2 0.5000 0.0000 0.5000
K3 0.5000 0.5000 0.0000
Ag1 0.1349 0.1349 0.1349
Ag2 0.5000 0.5000 0.5000
Ag3 0.8651 0.8651 0.8651
Cl1 0.2501 0.2501 0.2501
Cl2 0.2510 0.7247 0.7247
Cl3 0.2753 0.2753 0.7490
Cl4 0.2753 0.7490 0.2753
Cl5 0.7247 0.2510 0.7247
Cl6 0.7247 0.7247 0.2510
Cl7 0.7490 0.2753 0.2753
Cl8 0.7499 0.7499 0.7499
```

***

VASP calculation (PBE-GGA) on a relaxed ErPa3 crystal.

Values from the calculation:
calculated volume = 25.7 Å³/atom
calculated density = 13.908 g/cm3
energy relative to the elements = 0.16 eV per atom
energy relative to the lowest polymorph listed for this composition = 26 meV/atom
total magnetization = 0.00 μB per formula unit
space-group type = Pmm2 (25)

```
data_ErPa3
_cell_length_a 3.1946
_cell_length_b 5.5702
_cell_length_c 5.7725
_cell_angle_alpha 90.00
_cell_angle_beta 90.00
_cell_angle_gamma 90.00
_symmetry_space_group_name_H-M 'P 1'
_symmetry_Int_Tables_number 1
_symmetry_space_group_name_Hall 'P 1'
loop_
_atom_site_label
_atom_site_fract_x
_atom_site_fract_y
_atom_site_fract_z
Er1 0.0000 0.0000 0.0000
Pa1 0.0000 0.5000 0.7148
Pa2 0.5000 0.0000 0.5026
Pa3 0.5000 0.5000 0.2235
```

***

VASP calculation (PBE-GGA) on a relaxed HfTaFeIr2 crystal.

Values from the calculation:
calculated volume = 22.0 Å³/atom
calculated density = 12.095 g/cm3
energy relative to the elements = 2.10 eV per atom
total magnetization = 0.05 μB per formula unit
space-group type = P4/mmm (123)

```
data_HfTaFeIr2
_cell_length_a 4.7168
_cell_length_b 4.7168
_cell_length_c 4.9349
_cell_angle_alpha 90.00
_cell_angle_beta 90.00
_cell_angle_gamma 90.00
_symmetry_space_group_name_H-M 'P 1'
_symmetry_Int_Tables_number 1
_symmetry_space_group_name_Hall 'P 1'
loop_
_atom_site_label
_atom_site_fract_x
_atom_site_fract_y
_atom_site_fract_z
Hf1 0.0000 0.0000 0.0000
Ta1 0.0000 0.0000 0.5000
Fe1 0.5000 0.5000 0.5000
Ir1 0.0000 0.5000 0.0000
Ir2 0.5000 0.0000 0.0000
```

***

VASP calculation (PBE-GGA) on a relaxed Si3NiI crystal.

Values from the calculation:
calculated volume = 22.1 Å³/atom
calculated density = 4.050 g/cm3
energy relative to the lowest polymorph listed for this composition = 112 meV/atom
total magnetization = 0.00 μB per formula unit
space-group type = P-1 (2)

```
data_Si3NiI
_cell_length_a 4.1682
_cell_length_b 5.6720
_cell_length_c 10.4325
_cell_angle_alpha 75.14
_cell_angle_beta 88.36
_cell_angle_gamma 68.54
_symmetry_space_group_name_H-M 'P 1'
_symmetry_Int_Tables_number 1
_symmetry_space_group_name_Hall 'P 1'
loop_
_atom_site_label
_atom_site_fract_x
_atom_site_fract_y
_atom_site_fract_z
Si1 0.0320 0.4622 0.3186
Si2 0.1628 0.1629 0.5759
Si3 0.3839 0.7247 0.5548
Si4 0.6161 0.2753 0.4452
Si5 0.8372 0.8371 0.4241
Si6 0.9680 0.5378 0.6814
Ni1 0.4102 0.7038 0.3345
Ni2 0.5898 0.2962 0.6655
I1 0.2107 0.1367 0.1456
I2 0.7893 0.8633 0.8544
```

***

Q: Look up the calculated volume of the fourth one.
A: 25.7 Å³/atom

***

Q: Look up the calculated volume of the third one.
A: 29.8 Å³/atom

***

Q: Which of these has the lowest calculated density?
A: K3Ag3Cl8